No. 1
The following is a DFT calculation (GGA-PBE) of crystalline CuAg2Pd8 at its relaxed geometry.

Output
Energy above the most stable polymorph in this dataset in meV/atom: 137
Energy relative to the elements in eV/atom: 0.12
SG: No. 12

Geometry as CIF:
```
data_CuAg2Pd8
_chemical_formula_sum 'Cu1 Ag2 Pd8'
_space_group_name_H-M_alt 'P 1'
_space_group_IT_number 1
_space_group_name_Hall 'P 1'
_cell_length_a 4.9734
_cell_length_b 8.7319
_cell_length_c 8.7319
_cell_angle_alpha 34.65
_cell_angle_beta 58.81
_cell_angle_gamma 58.81
loop_
_atom_site_label
_atom_site_fract_x
_atom_site_fract_y
_atom_site_fract_z
Pd1 0.7819 0.6653 0.1646
Pd2 0.2181 0.8354 0.3347
Cu1 0.0000 0.0000 0.0000
Pd3 0.1146 0.7425 0.7425
Pd4 0.8854 0.2575 0.2575
Ag1 0.5225 0.1820 0.1820
Pd5 0.2780 0.4158 0.4158
Ag2 0.4775 0.8180 0.8180
Pd6 0.7819 0.1646 0.6653
Pd7 0.2181 0.3347 0.8354
Pd8 0.7220 0.5842 0.5842
```

---

No. 2
The following is a DFT calculation (GGA-PBE) of crystalline Cu3Ag2Pd2 at its relaxed geometry.

Output
Energy relative to the elements in eV/atom: -0.03
SG: No. 12

Geometry as CIF:
```
data_Cu3Ag2Pd2
_chemical_formula_sum 'Cu3 Ag2 Pd2'
_space_group_name_H-M_alt 'P 1'
_space_group_IT_number 1
_space_group_name_Hall 'P 1'
_cell_length_a 3.9453
_cell_length_b 4.8051
_cell_length_c 5.9925
_cell_angle_alpha 95.42
_cell_angle_beta 90.00
_cell_angle_gamma 114.24
loop_
_atom_site_label
_atom_site_fract_x
_atom_site_fract_y
_atom_site_fract_z
Ag1 0.8548 0.7095 0.5794
Ag2 0.1452 0.2905 0.4206
Cu1 0.2751 0.5503 0.8681
Cu2 0.0000 0.0000 0.0000
Cu3 0.7249 0.4497 0.1319
Pd1 0.5655 0.1310 0.7414
Pd2 0.4345 0.8690 0.2586
```

---

No. 3
The following is a DFT calculation (GGA-PBE) of crystalline CuAg2Pd9 at its relaxed geometry.

Output
Energy relative to the elements in eV/atom: -0.03
SG: No. 123

Geometry as CIF:
```
data_CuAg2Pd9
_chemical_formula_sum 'Cu1 Ag2 Pd9'
_space_group_name_H-M_alt 'P 1'
_space_group_IT_number 1
_space_group_name_Hall 'P 1'
_cell_length_a 3.9675
_cell_length_b 3.9675
_cell_length_c 11.8633
_cell_angle_alpha 90.00
_cell_angle_beta 90.00
_cell_angle_gamma 90.00
loop_
_atom_site_label
_atom_site_fract_x
_atom_site_fract_y
_atom_site_fract_z
Pd1 0.0000 0.5000 0.8417
Pd2 0.5000 0.0000 0.8417
Ag1 0.0000 0.0000 0.6706
Pd3 0.5000 0.0000 0.5000
Pd4 0.5000 0.5000 0.0000
Pd5 0.0000 0.5000 0.1583
Pd6 0.5000 0.5000 0.3289
Pd7 0.0000 0.5000 0.5000
Cu1 0.0000 0.0000 0.0000
Ag2 0.0000 0.0000 0.3294
Pd8 0.5000 0.0000 0.1583
Pd9 0.5000 0.5000 0.6711
```

---

No. 4
The following is a DFT calculation (GGA-PBE) of crystalline Cu3AgPd at its relaxed geometry.

Output
Energy above the most stable polymorph in this dataset in meV/atom: 0
Energy relative to the elements in eV/atom: 0.03
SG: No. 1

Geometry as CIF:
```
data_Cu3AgPd
_chemical_formula_sum 'Cu3 Ag1 Pd1'
_space_group_name_H-M_alt 'P 1'
_space_group_IT_number 1
_space_group_name_Hall 'P 1'
_cell_length_a 2.7021
_cell_length_b 6.6310
_cell_length_c 4.9899
_cell_angle_alpha 108.71
_cell_angle_beta 56.40
_cell_angle_gamma 95.46
loop_
_atom_site_label
_atom_site_fract_x
_atom_site_fract_y
_atom_site_fract_z
Cu1 0.9484 0.5567 0.4283
Pd1 0.8651 0.7214 0.0110
Ag1 0.5285 0.1580 0.2260
Cu2 0.4471 0.3463 0.8212
Cu3 0.6648 0.9425 0.6189
```

---

No. 5
The following is a DFT calculation (GGA-PBE) of crystalline Cu6AgPd3 at its relaxed geometry.

Output
Energy above the most stable polymorph in this dataset in meV/atom: 0
Energy relative to the elements in eV/atom: -0.06
SG: No. 11

Geometry as CIF:
```
data_Cu6AgPd3
_chemical_formula_sum 'Cu12 Ag2 Pd6'
_space_group_name_H-M_alt 'P 1'
_space_group_IT_number 1
_space_group_name_Hall 'P 1'
_cell_length_a 4.3705
_cell_length_b 7.1581
_cell_length_c 9.4391
_cell_angle_alpha 112.19
_cell_angle_beta 90.00
_cell_angle_gamma 90.00
loop_
_atom_site_label
_atom_site_fract_x
_atom_site_fract_y
_atom_site_fract_z
Cu1 0.7500 0.9394 0.1224
Cu2 0.2500 0.4588 0.0732
Cu3 0.2500 0.0606 0.8776
Cu4 0.7500 0.8378 0.8251
Ag1 0.2500 0.9599 0.5765
Pd1 0.2500 0.3602 0.7781
Cu5 0.7500 0.5412 0.9268
Cu6 0.7500 0.3365 0.3232
Cu7 0.2500 0.8638 0.2656
Pd2 0.2500 0.7685 0.9752
Pd3 0.7500 0.2315 0.0248
Cu8 0.7500 0.7286 0.5290
Pd4 0.2500 0.5576 0.3716
Cu9 0.2500 0.1622 0.1749
Cu10 0.2500 0.6635 0.6768
Pd5 0.7500 0.4424 0.6284
Cu11 0.2500 0.2714 0.4710
Pd6 0.7500 0.6398 0.2219
Cu12 0.7500 0.1362 0.7344
Ag2 0.7500 0.0401 0.4235
```

---

No. 6
The following is a DFT calculation (GGA-PBE) of crystalline CuAg4Pd7 at its relaxed geometry.

Output
Energy relative to the elements in eV/atom: -0.03
SG: No. 164

Geometry as CIF:
```
data_CuAg4Pd7
_chemical_formula_sum 'Cu1 Ag4 Pd7'
_space_group_name_H-M_alt 'P 1'
_space_group_IT_number 1
_space_group_name_Hall 'P 1'
_cell_length_a 2.8244
_cell_length_b 2.8244
_cell_length_c 27.6852
_cell_angle_alpha 90.00
_cell_angle_beta 90.00
_cell_angle_gamma 120.00
loop_
_atom_site_label
_atom_site_fract_x
_atom_site_fract_y
_atom_site_fract_z
Pd1 0.0000 0.0000 0.2536
Pd2 0.6667 0.3333 0.5751
Ag1 0.6667 0.3333 0.0855
Ag2 0.3333 0.6667 0.9145
Cu1 0.0000 0.0000 0.5000
Pd3 0.3333 0.6667 0.1708
Pd4 0.0000 0.0000 0.0000
Pd5 0.0000 0.0000 0.7464
Pd6 0.6667 0.3333 0.8292
Pd7 0.3333 0.6667 0.4249
Ag3 0.6667 0.3333 0.3389
Ag4 0.3333 0.6667 0.6611
```

---

No. 7
The following is a DFT calculation (GGA-PBE) of crystalline CuAgPd2 at its relaxed geometry.

Output
Energy above the most stable polymorph in this dataset in meV/atom: 16
Energy relative to the elements in eV/atom: -0.05
SG: No. 166

Geometry as CIF:
```
data_CuAgPd2
_chemical_formula_sum 'Cu1 Ag1 Pd2'
_space_group_name_H-M_alt 'P 1'
_space_group_IT_number 1
_space_group_name_Hall 'P 1'
_cell_length_a 2.8079
_cell_length_b 2.8079
_cell_length_c 9.0847
_cell_angle_alpha 81.11
_cell_angle_beta 81.11
_cell_angle_gamma 60.00
loop_
_atom_site_label
_atom_site_fract_x
_atom_site_fract_y
_atom_site_fract_z
Pd1 0.2555 0.2555 0.2334
Ag1 0.5000 0.5000 0.5000
Pd2 0.7445 0.7445 0.7666
Cu1 0.0000 0.0000 0.0000
```

---

No. 8
The following is a DFT calculation (GGA-PBE) of crystalline Cu6AgPd at its relaxed geometry.

Output
Energy relative to the elements in eV/atom: -0.02
SG: No. 123

Geometry as CIF:
```
data_Cu6AgPd
_chemical_formula_sum 'Cu6 Ag1 Pd1'
_space_group_name_H-M_alt 'P 1'
_space_group_IT_number 1
_space_group_name_Hall 'P 1'
_cell_length_a 3.7568
_cell_length_b 3.7568
_cell_length_c 7.4518
_cell_angle_alpha 90.00
_cell_angle_beta 90.00
_cell_angle_gamma 90.00
loop_
_atom_site_label
_atom_site_fract_x
_atom_site_fract_y
_atom_site_fract_z
Cu1 0.5000 0.0000 0.2548
Ag1 0.0000 0.0000 0.0000
Cu2 0.0000 0.5000 0.2548
Cu3 0.5000 0.0000 0.7452
Cu4 0.5000 0.5000 0.0000
Pd1 0.0000 0.0000 0.5000
Cu5 0.5000 0.5000 0.5000
Cu6 0.0000 0.5000 0.7452
```

---

No. 9
The following is a DFT calculation (GGA-PBE) of crystalline Cu4AgPd2 at its relaxed geometry.

Output
Energy above the most stable polymorph in this dataset in meV/atom: 280
Energy relative to the elements in eV/atom: 0.31
SG: No. 139

Geometry as CIF:
```
data_Cu4AgPd2
_chemical_formula_sum 'Cu4 Ag1 Pd2'
_space_group_name_H-M_alt 'P 1'
_space_group_IT_number 1
_space_group_name_Hall 'P 1'
_cell_length_a 4.7980
_cell_length_b 4.7980
_cell_length_c 5.8373
_cell_angle_alpha 114.27
_cell_angle_beta 114.27
_cell_angle_gamma 90.00
loop_
_atom_site_label
_atom_site_fract_x
_atom_site_fract_y
_atom_site_fract_z
Cu1 0.5000 0.0000 0.0000
Cu2 0.2500 0.7500 0.5000
Ag1 0.0000 0.0000 0.0000
Cu3 0.7500 0.2500 0.5000
Cu4 0.0000 0.5000 0.0000
Pd1 0.6408 0.6408 0.2815
Pd2 0.3592 0.3592 0.7185
```

---

No. 10
The following is a DFT calculation (GGA-PBE) of crystalline Cu8AgPd5 at its relaxed geometry.

Output
Energy relative to the elements in eV/atom: 0.06
SG: No. 82

Geometry as CIF:
```
data_Cu8AgPd5
_chemical_formula_sum 'Cu8 Ag1 Pd5'
_space_group_name_H-M_alt 'P 1'
_space_group_IT_number 1
_space_group_name_Hall 'P 1'
_cell_length_a 6.4845
_cell_length_b 6.4845
_cell_length_c 6.4845
_cell_angle_alpha 114.86
_cell_angle_beta 99.16
_cell_angle_gamma 114.86
loop_
_atom_site_label
_atom_site_fract_x
_atom_site_fract_y
_atom_site_fract_z
Cu1 0.1436 0.7625 0.0858
Cu2 0.6190 0.9423 0.8564
Cu3 0.3233 0.2375 0.3810
Pd1 0.2868 0.0694 0.9117
Pd2 0.7826 0.6249 0.7132
Pd3 0.5000 0.0000 0.5000
Cu4 0.6949 0.2563 0.2846
Cu5 0.9142 0.0577 0.6767
Pd4 0.8423 0.9306 0.2174
Pd5 0.0883 0.3751 0.1577
Cu6 0.7154 0.4102 0.9717
Cu7 0.5614 0.5898 0.3051
Ag1 0.2500 0.5000 0.7500
Cu8 0.0283 0.7437 0.4386
```

---

No. 11
The following is a DFT calculation (GGA-PBE) of crystalline Cu4AgPd2 at its relaxed geometry.

Output
Energy above the most stable polymorph in this dataset in meV/atom: 0
Energy relative to the elements in eV/atom: 0.03
SG: No. 1

Geometry as CIF:
```
data_Cu4AgPd2
_chemical_formula_sum 'Cu8 Ag2 Pd4'
_space_group_name_H-M_alt 'P 1'
_space_group_IT_number 1
_space_group_name_Hall 'P 1'
_cell_length_a 6.5274
_cell_length_b 6.5173
_cell_length_c 6.6840
_cell_angle_alpha 122.67
_cell_angle_beta 117.33
_cell_angle_gamma 88.72
loop_
_atom_site_label
_atom_site_fract_x
_atom_site_fract_y
_atom_site_fract_z
Cu1 0.7720 0.1707 0.2466
Ag1 0.0244 0.0238 0.0016
Ag2 0.1145 0.6149 0.5001
Cu2 0.3633 0.0983 0.9077
Pd1 0.4127 0.7936 0.0843
Cu3 0.9247 0.5261 0.7540
Cu4 0.1909 0.4578 0.0939
Cu5 0.9424 0.7984 0.2121
Cu6 0.5857 0.7332 0.7845
Pd2 0.6505 0.6034 0.3785
Cu7 0.8503 0.0631 0.5788
Pd3 0.2244 0.2704 0.6202
Cu8 0.4859 0.2717 0.4233
Pd4 0.7084 0.3246 0.9143
```

---

No. 12
The following is a DFT calculation (GGA-PBE) of crystalline CuAgPd4 at its relaxed geometry.

Output
Energy above the most stable polymorph in this dataset in meV/atom: 144
Energy relative to the elements in eV/atom: 0.10
SG: No. 12

Geometry as CIF:
```
data_CuAgPd4
_chemical_formula_sum 'Cu2 Ag2 Pd8'
_space_group_name_H-M_alt 'P 1'
_space_group_IT_number 1
_space_group_name_Hall 'P 1'
_cell_length_a 4.8356
_cell_length_b 6.9993
_cell_length_c 6.8672
_cell_angle_alpha 120.64
_cell_angle_beta 103.31
_cell_angle_gamma 90.00
loop_
_atom_site_label
_atom_site_fract_x
_atom_site_fract_y
_atom_site_fract_z
Pd1 0.2813 0.6671 0.3342
Pd2 0.5718 0.3124 0.2448
Cu1 0.7521 0.5529 0.1058
Pd3 0.0000 0.8012 0.0000
Cu2 0.2479 0.4471 0.8942
Ag1 0.8647 0.7877 0.5753
Pd4 0.7187 0.3329 0.6658
Pd5 0.4282 0.6876 0.7552
Pd6 0.4282 0.0676 0.7552
Ag2 0.1353 0.2123 0.4247
Pd7 0.0000 0.1988 0.0000
Pd8 0.5718 0.9324 0.2448
```